Below is an optimized crystal structure of ScTiHg, with properties calculated at the PBE level.

Computed properties:
- total magnetization (μB/f.u.) = 0.00
- formation energy (eV/atom) = -0.167
- polymorph energy (0 for the lowest one) (eV per formula unit) = 0.00

Cell lengths 3.5607, 3.5749, 9.7035 Å; angles 90.00, 90.00, 90.00 degrees
With the nearest neighbours (Å) after each atom.
Space group Pmmn (No. 59, origin choice 2)
Inequivalent atoms, fractional coordinates:
Sc: 0.2500 0.2500 0.2418 x2  5 Ti 2.91-3.09, 4 Hg 2.98
Ti: 0.2500 0.2500 0.9415 x2  4 Ti 2.77, 5 Sc 2.91-3.09
Hg: 0.2500 0.2500 0.5940 x2  4 Sc 2.98, 4 Hg 3.11